! CsTiPdSe2 | the Alexandria database | PBEsol | relaxed; values from VASP
&SYSTEM
  ibrav = 0, nat = 5, ntyp = 4
/
ATOMIC_SPECIES
Cs 132.91 Cs.upf
Se 78.96 Se.upf
Pd 106.42 Pd.upf
Ti 47.87 Ti.upf
ATOMIC_POSITIONS crystal
Cs 0.5000 0.5000 0.5000
Se 0.0000 0.5000 0.0000
Se 0.5000 0.0000 0.0000
Pd 0.0000 0.0000 0.5000
Ti 0.0000 0.0000 0.0000
CELL_PARAMETERS angstrom
4.9905 0.0000 0.0000
0.0000 4.9905 0.0000
0.0000 0.0000 4.9899
! Density (g/cm³): 5.95
! Calculated volume (Å³/atom): 24.86
! Total DFT energy (no corrections) (eV/atom): -5.06
! Formation energy (no corrections) (eV per atom): -0.470

=====

! NaSbSe2 | the Alexandria database | PBEsol | relaxed; values from VASP
&SYSTEM
  ibrav = 0, nat = 4, ntyp = 3
/
ATOMIC_SPECIES
Sb 121.76 Sb.upf
Se 78.96 Se.upf
Na 22.99 Na.upf
ATOMIC_POSITIONS crystal
Sb 0.5000 0.5000 0.5000
Se 0.7556 0.7556 0.7333
Se 0.2444 0.2444 0.2667
Na 0.0000 0.0000 0.0000
CELL_PARAMETERS angstrom
4.0851 0.0000 0.0000
2.0426 3.5378 0.0000
2.0426 1.1793 7.0160
! Density (g/cm³): 4.96
! Calculated volume (Å³/atom): 25.35
! Total DFT energy (no corrections) (eV/atom): -4.05
! Formation energy (no corrections) (eV per atom): -0.635

=====

Question: Among the records above, which one has the lowest total DFT energy (no corrections)?
Answer: CsTiPdSe2